This record from the Alexandria database describes an optimized crystal structure of Sr3Ga4Au2. The functional is PBE-GGA.

Structure (CIF):
```
data_Sr3Ga4Au2
_chemical_formula_sum 'Sr6 Ga8 Au4'
_cell_length_a 11.6027
_cell_length_b 4.5732
_cell_length_c 9.0380
_cell_angle_alpha 90.00
_cell_angle_beta 107.26
_cell_angle_gamma 90.00
_symmetry_space_group_name_H-M 'C 1 2/m 1'
_symmetry_Int_Tables_number 12
loop_
_symmetry_equiv_pos_as_xyz
'x,y,z'
'-x,-y,-z'
'-x,y,-z'
'x,-y,z'
'x+1/2,y+1/2,z'
'-x+1/2,-y+1/2,-z'
'-x+1/2,y+1/2,-z'
'x+1/2,-y+1/2,z'
loop_
_atom_site_label
_atom_site_type_symbol
_atom_site_fract_x
_atom_site_fract_y
_atom_site_fract_z
Sr1 Sr 0.0000 0.0000 0.0000
Sr2 Sr 0.1761 0.5000 0.6566
Ga1 Ga 0.0341 0.0000 0.3725
Ga2 Ga 0.2351 0.5000 0.0694
Au1 Au 0.1038 0.5000 0.2723
```

## Properties
Calculated formation energy in eV/atom: -0.599